Ba2MnBiRu after structural relaxation. Source: Alexandria via LeMat-Bulk, functional PBE.

The space group is P4/mmm (No. 123) and the conventional cell measures 5.7344, 5.7344 and 4.9815 Å, with angles of 90.00, 90.00 and 90.00 degrees. The inequivalent atoms are Ba at (0.0000, 0.5000, 0.0000), Mn at (0.0000, 0.0000, 0.0000), Bi at (0.0000, 0.0000, 0.5000) and Ru at (0.5000, 0.5000, 0.5000).

The value obtained for the total DFT energy (no corrections) is -4.298 eV per atom. The density of states at the Fermi level comes out at 9.4 states/eV/cell.

---

Ba2MnBiS5 after structural relaxation. Source: Alexandria via LeMat-Bulk, functional PBE.

The space group is Cmc2_1 (No. 36) and the conventional cell measures 4.2188, 18.1005 and 13.0202 Å, with angles of 90.00, 90.00 and 90.00 degrees. The inequivalent atoms are Ba at (0.0000, 0.1178, 0.0000), Ba at (0.0000, 0.1292, 0.6427), Mn at (0.0000, 0.4485, 0.7270), Bi at (0.0000, 0.2022, 0.3414), S at (0.0000, 0.0284, 0.2940), S at (0.0000, 0.2942, 0.9843), S at (0.0000, 0.3217, 0.6874), S at (0.0000, 0.3461, 0.3230) and S at (0.0000, 0.4943, 0.0748).

The calculation puts the formation energy without anion corrections at -10.7 eV per formula unit. The density of states at the Fermi level comes out at 12.5 states/eV/cell.

---

Ba2MnBiSe after structural relaxation. Source: Alexandria via LeMat-Bulk, functional PBE.

The space group is P4/mmm (No. 123) and the conventional cell measures 6.3210, 6.3210 and 4.7347 Å, with angles of 90.00, 90.00 and 90.00 degrees. The inequivalent atoms are Ba at (0.0000, 0.5000, 0.0000), Mn at (0.0000, 0.0000, 0.5000), Bi at (0.5000, 0.5000, 0.5000) and Se at (0.0000, 0.0000, 0.0000).

The calculation puts the formation energy without anion corrections at -3.1 eV per formula unit. The density of states at the Fermi level comes out at 2.2 states/eV/cell.

---

Ba2MnBiSe5 after structural relaxation. Source: Alexandria via LeMat-Bulk, functional PBE.

The space group is Cmc2_1 (No. 36) and the conventional cell measures 4.3776, 18.8960 and 13.4420 Å, with angles of 90.00, 90.00 and 90.00 degrees. The inequivalent atoms are Ba at (0.0000, 0.1181, 0.0000), Ba at (0.0000, 0.1264, 0.6426), Mn at (0.0000, 0.4472, 0.7283), Bi at (0.0000, 0.2020, 0.3409), Se at (0.0000, 0.0275, 0.3047), Se at (0.0000, 0.2940, 0.9864), Se at (0.0000, 0.3194, 0.6843), Se at (0.0000, 0.3474, 0.3225) and Se at (0.0000, 0.4948, 0.0706).

The calculation puts the formation energy without anion corrections at -10.2 eV per formula unit. The density of states at the Fermi level comes out at 13.0 states/eV/cell.